# Tb2Y4Ho2Er (PBE-GGA, relaxed)
# - crystal system = monoclinic
data_Tb2Y4Ho2Er
_chemical_formula_sum 'Tb4 Y8 Ho4 Er2'
_cell_length_a 18.622
_cell_length_b 3.585
_cell_length_c 9.515
_cell_angle_alpha 90.00
_cell_angle_beta 115.78
_cell_angle_gamma 90.00
_space_group_name_H-M_alt 'C 1 2/m 1'
_space_group_IT_number 12
loop_
_space_group_symop_operation_xyz
'x,y,z'
'-x,-y,-z'
'-x,y,-z'
'x,-y,z'
'x+1/2,y+1/2,z'
'-x+1/2,-y+1/2,-z'
'-x+1/2,y+1/2,-z'
'x+1/2,-y+1/2,z'
loop_
_atom_site_label
_atom_site_type_symbol
_atom_site_fract_x
_atom_site_fract_y
_atom_site_fract_z
Tb1 Tb 0.148 0.000 0.167
Y1 Y 0.019 0.500 0.833
Y2 Y 0.185 0.000 0.832
Ho1 Ho 0.166 0.500 0.499
Er1 Er 0.000 0.000 0.500

# TbY2Ho2Er (PBE-GGA, relaxed)
# - crystal system = orthorhombic
data_TbY2Ho2Er
_chemical_formula_sum 'Tb2 Y4 Ho4 Er2'
_cell_length_a 6.523
_cell_length_b 17.678
_cell_length_c 3.373
_cell_angle_alpha 90.00
_cell_angle_beta 90.00
_cell_angle_gamma 90.00
_space_group_name_H-M_alt 'P n n m'
_space_group_IT_number 58
loop_
_space_group_symop_operation_xyz
'x,y,z'
'-x,-y,-z'
'-x,-y,z'
'x,y,-z'
'x+1/2,-y+1/2,-z+1/2'
'-x+1/2,y+1/2,z+1/2'
'-x+1/2,y+1/2,-z+1/2'
'x+1/2,-y+1/2,z+1/2'
loop_
_atom_site_label
_atom_site_type_symbol
_atom_site_fract_x
_atom_site_fract_y
_atom_site_fract_z
Tb1 Tb 0.000 0.000 0.000
Y1 Y 0.232 0.316 0.000
Ho1 Ho 0.230 0.146 0.500
Er1 Er 0.000 0.500 0.000

# TbY2HoEr6 (PBE-GGA, relaxed)
# - crystal system = monoclinic
data_TbY2HoEr6
_chemical_formula_sum 'Tb4 Y8 Ho4 Er24'
_cell_length_a 9.021
_cell_length_b 14.924
_cell_length_c 9.453
_cell_angle_alpha 90.00
_cell_angle_beta 97.05
_cell_angle_gamma 90.00
_space_group_name_H-M_alt 'C 1 2/c 1'
_space_group_IT_number 15
loop_
_space_group_symop_operation_xyz
'x,y,z'
'-x,-y,-z'
'-x,y,-z+1/2'
'x,-y,z+1/2'
'x+1/2,y+1/2,z'
'-x+1/2,-y+1/2,-z'
'-x+1/2,y+1/2,-z+1/2'
'x+1/2,-y+1/2,z+1/2'
loop_
_atom_site_label
_atom_site_type_symbol
_atom_site_fract_x
_atom_site_fract_y
_atom_site_fract_z
Tb1 Tb 0.000 0.025 0.250
Y1 Y 0.250 0.052 0.545
Ho1 Ho 0.000 0.409 0.750
Er1 Er 0.062 0.187 0.943
Er2 Er 0.100 0.391 0.118
Er3 Er 0.206 0.225 0.315

# Tb2YHo6Er3 (PBE-GGA, relaxed)
# - crystal system = monoclinic
data_Tb2YHo6Er3
_chemical_formula_sum 'Tb4 Y2 Ho12 Er6'
_cell_length_a 6.117
_cell_length_b 10.582
_cell_length_c 11.698
_cell_angle_alpha 90.00
_cell_angle_beta 99.98
_cell_angle_gamma 90.00
_space_group_name_H-M_alt 'C 1 2/m 1'
_space_group_IT_number 12
loop_
_space_group_symop_operation_xyz
'x,y,z'
'-x,-y,-z'
'-x,y,-z'
'x,-y,z'
'x+1/2,y+1/2,z'
'-x+1/2,-y+1/2,-z'
'-x+1/2,y+1/2,-z'
'x+1/2,-y+1/2,z'
loop_
_atom_site_label
_atom_site_type_symbol
_atom_site_fract_x
_atom_site_fract_y
_atom_site_fract_z
Tb1 Tb 0.000 0.167 0.000
Y1 Y 0.000 0.500 0.000
Ho1 Ho 0.249 0.167 0.748
Ho2 Ho 0.250 0.000 0.252
Er1 Er 0.000 0.000 0.500
Er2 Er 0.000 0.333 0.500

# TbY2Ho2Er2 (PBE-GGA, relaxed)
# - crystal system = monoclinic
data_TbY2Ho2Er2
_chemical_formula_sum 'Tb2 Y4 Ho4 Er4'
_cell_length_a 23.487
_cell_length_b 3.480
_cell_length_c 5.535
_cell_angle_alpha 90.00
_cell_angle_beta 103.53
_cell_angle_gamma 90.00
_space_group_name_H-M_alt 'C 1 2/m 1'
_space_group_IT_number 12
loop_
_space_group_symop_operation_xyz
'x,y,z'
'-x,-y,-z'
'-x,y,-z'
'x,-y,z'
'x+1/2,y+1/2,z'
'-x+1/2,-y+1/2,-z'
'-x+1/2,y+1/2,-z'
'x+1/2,-y+1/2,z'
loop_
_atom_site_label
_atom_site_type_symbol
_atom_site_fract_x
_atom_site_fract_y
_atom_site_fract_z
Tb1 Tb 0.000 0.000 0.000
Y1 Y 0.144 0.500 0.142
Ho1 Ho 0.207 0.000 0.705
Er1 Er 0.070 0.500 0.569

# Tb6YHo2Er3 (PBE-GGA, relaxed)
# - crystal system = monoclinic
data_Tb6YHo2Er3
_chemical_formula_sum 'Tb12 Y2 Ho4 Er6'
_cell_length_a 6.139
_cell_length_b 10.623
_cell_length_c 11.723
_cell_angle_alpha 90.00
_cell_angle_beta 99.99
_cell_angle_gamma 90.00
_space_group_name_H-M_alt 'C 1 2/m 1'
_space_group_IT_number 12
loop_
_space_group_symop_operation_xyz
'x,y,z'
'-x,-y,-z'
'-x,y,-z'
'x,-y,z'
'x+1/2,y+1/2,z'
'-x+1/2,-y+1/2,-z'
'-x+1/2,y+1/2,-z'
'x+1/2,-y+1/2,z'
loop_
_atom_site_label
_atom_site_type_symbol
_atom_site_fract_x
_atom_site_fract_y
_atom_site_fract_z
Tb1 Tb 0.249 0.167 0.249
Tb2 Tb 0.250 0.000 0.751
Y1 Y 0.000 0.500 0.500
Ho1 Ho 0.000 0.167 0.500
Er1 Er 0.000 0.000 0.000
Er2 Er 0.000 0.333 0.000

# Tb4YHo2Er2 (PBE-GGA, relaxed)
# - crystal system = monoclinic
data_Tb4YHo2Er2
_chemical_formula_sum 'Tb8 Y2 Ho4 Er4'
_cell_length_a 17.085
_cell_length_b 3.570
_cell_length_c 9.563
_cell_angle_alpha 90.00
_cell_angle_beta 101.37
_cell_angle_gamma 90.00
_space_group_name_H-M_alt 'C 1 2/m 1'
_space_group_IT_number 12
loop_
_space_group_symop_operation_xyz
'x,y,z'
'-x,-y,-z'
'-x,y,-z'
'x,-y,z'
'x+1/2,y+1/2,z'
'-x+1/2,-y+1/2,-z'
'-x+1/2,y+1/2,-z'
'x+1/2,-y+1/2,z'
loop_
_atom_site_label
_atom_site_type_symbol
_atom_site_fract_x
_atom_site_fract_y
_atom_site_fract_z
Tb1 Tb 0.017 0.000 0.327
Tb2 Tb 0.179 0.500 0.244
Y1 Y 0.000 0.500 0.000
Ho1 Ho 0.151 0.500 0.593
Er1 Er 0.164 0.000 0.923

# Tb2YHo2Er (PBE-GGA, relaxed)
# - crystal system = orthorhombic
data_Tb2YHo2Er
_chemical_formula_sum 'Tb4 Y2 Ho4 Er2'
_cell_length_a 6.935
_cell_length_b 16.149
_cell_length_c 3.467
_cell_angle_alpha 90.00
_cell_angle_beta 90.00
_cell_angle_gamma 90.00
_space_group_name_H-M_alt 'P n n m'
_space_group_IT_number 58
loop_
_space_group_symop_operation_xyz
'x,y,z'
'-x,-y,-z'
'-x,-y,z'
'x,y,-z'
'x+1/2,-y+1/2,-z+1/2'
'-x+1/2,y+1/2,z+1/2'
'-x+1/2,y+1/2,-z+1/2'
'x+1/2,-y+1/2,z+1/2'
loop_
_atom_site_label
_atom_site_type_symbol
_atom_site_fract_x
_atom_site_fract_y
_atom_site_fract_z
Tb1 Tb 0.249 0.157 0.000
Y1 Y 0.000 0.500 0.000
Ho1 Ho 0.249 0.845 0.000
Er1 Er 0.000 0.000 0.500

# TbYHo2Er5 (PBE-GGA, relaxed)
# - crystal system = orthorhombic
data_TbYHo2Er5
_chemical_formula_sum 'Tb4 Y4 Ho8 Er20'
_cell_length_a 5.558
_cell_length_b 19.729
_cell_length_c 10.492
_cell_angle_alpha 90.00
_cell_angle_beta 90.00
_cell_angle_gamma 90.00
_space_group_name_H-M_alt 'C m c 21'
_space_group_IT_number 36
loop_
_space_group_symop_operation_xyz
'x,y,z'
'-x,-y,z+1/2'
'-x,y,z'
'x,-y,z+1/2'
'x+1/2,y+1/2,z'
'-x+1/2,-y+1/2,z+1/2'
'-x+1/2,y+1/2,z'
'x+1/2,-y+1/2,z+1/2'
loop_
_atom_site_label
_atom_site_type_symbol
_atom_site_fract_x
_atom_site_fract_y
_atom_site_fract_z
Tb1 Tb 0.000 0.200 0.000
Y1 Y 0.000 0.413 0.443
Ho1 Ho 0.000 0.110 0.725
Ho2 Ho 0.000 0.113 0.306
Er1 Er 0.000 0.018 0.014
Er2 Er 0.000 0.281 0.296
Er3 Er 0.000 0.300 0.698
Er4 Er 0.000 0.391 0.012
Er5 Er 0.000 0.479 0.726

# TbY2HoEr2 (PBE-GGA, relaxed)
# - crystal system = orthorhombic
data_TbY2HoEr2
_chemical_formula_sum 'Tb2 Y4 Ho2 Er4'
_cell_length_a 6.490
_cell_length_b 17.693
_cell_length_c 3.384
_cell_angle_alpha 90.00
_cell_angle_beta 90.00
_cell_angle_gamma 90.00
_space_group_name_H-M_alt 'P n n m'
_space_group_IT_number 58
loop_
_space_group_symop_operation_xyz
'x,y,z'
'-x,-y,-z'
'-x,-y,z'
'x,y,-z'
'x+1/2,-y+1/2,-z+1/2'
'-x+1/2,y+1/2,z+1/2'
'-x+1/2,y+1/2,-z+1/2'
'x+1/2,-y+1/2,z+1/2'
loop_
_atom_site_label
_atom_site_type_symbol
_atom_site_fract_x
_atom_site_fract_y
_atom_site_fract_z
Tb1 Tb 0.000 0.000 0.000
Y1 Y 0.227 0.186 0.000
Ho1 Ho 0.000 0.500 0.000
Er1 Er 0.225 0.354 0.500

# TbY2Ho5Er (PBE-GGA, relaxed)
# - crystal system = orthorhombic
data_TbY2Ho5Er
_chemical_formula_sum 'Tb4 Y8 Ho20 Er4'
_cell_length_a 5.582
_cell_length_b 19.723
_cell_length_c 10.568
_cell_angle_alpha 90.00
_cell_angle_beta 90.00
_cell_angle_gamma 90.00
_space_group_name_H-M_alt 'C m c 21'
_space_group_IT_number 36
loop_
_space_group_symop_operation_xyz
'x,y,z'
'-x,-y,z+1/2'
'-x,y,z'
'x,-y,z+1/2'
'x+1/2,y+1/2,z'
'-x+1/2,-y+1/2,z+1/2'
'-x+1/2,y+1/2,z'
'x+1/2,-y+1/2,z+1/2'
loop_
_atom_site_label
_atom_site_type_symbol
_atom_site_fract_x
_atom_site_fract_y
_atom_site_fract_z
Tb1 Tb 0.000 0.201 0.000
Y1 Y 0.000 0.109 0.727
Y2 Y 0.000 0.114 0.309
Ho1 Ho 0.000 0.019 0.016
Ho2 Ho 0.000 0.283 0.296
Ho3 Ho 0.000 0.300 0.697
Ho4 Ho 0.000 0.393 0.013
Ho5 Ho 0.000 0.479 0.728
Er1 Er 0.000 0.413 0.448

# Tb3Y6HoEr2 (PBE-GGA, relaxed)
# - crystal system = monoclinic
data_Tb3Y6HoEr2
_chemical_formula_sum 'Tb6 Y12 Ho2 Er4'
_cell_length_a 6.159
_cell_length_b 10.654
_cell_length_c 11.779
_cell_angle_alpha 90.00
_cell_angle_beta 99.99
_cell_angle_gamma 90.00
_space_group_name_H-M_alt 'C 1 2/m 1'
_space_group_IT_number 12
loop_
_space_group_symop_operation_xyz
'x,y,z'
'-x,-y,-z'
'-x,y,-z'
'x,-y,z'
'x+1/2,y+1/2,z'
'-x+1/2,-y+1/2,-z'
'-x+1/2,y+1/2,-z'
'x+1/2,-y+1/2,z'
loop_
_atom_site_label
_atom_site_type_symbol
_atom_site_fract_x
_atom_site_fract_y
_atom_site_fract_z
Tb1 Tb 0.000 0.000 0.000
Tb2 Tb 0.000 0.333 0.000
Y1 Y 0.249 0.000 0.749
Y2 Y 0.250 0.167 0.251
Ho1 Ho 0.000 0.500 0.500
Er1 Er 0.000 0.167 0.500

# TbYHoEr2 (PBE-GGA, relaxed)
# - crystal system = orthorhombic
data_TbYHoEr2
_chemical_formula_sum 'Tb4 Y4 Ho4 Er8'
_cell_length_a 8.299
_cell_length_b 11.380
_cell_length_c 7.175
_cell_angle_alpha 90.00
_cell_angle_beta 90.00
_cell_angle_gamma 90.00
_space_group_name_H-M_alt 'C m c m'
_space_group_IT_number 63
_space_group_name_Hall '-C 2c 2'
loop_
_atom_site_label
_atom_site_type_symbol
_atom_site_fract_x
_atom_site_fract_y
_atom_site_fract_z
Tb1 Tb 0.000 0.218 0.250
Y1 Y 0.000 0.229 0.750
Ho1 Ho 0.000 0.490 0.250
Er1 Er 0.190 0.000 0.000

# TbY2HoEr5 (PBE-GGA, relaxed)
# - crystal system = orthorhombic
data_TbY2HoEr5
_chemical_formula_sum 'Tb4 Y8 Ho4 Er20'
_cell_length_a 5.571
_cell_length_b 19.644
_cell_length_c 10.559
_cell_angle_alpha 90.00
_cell_angle_beta 90.00
_cell_angle_gamma 90.00
_space_group_name_H-M_alt 'C m c 21'
_space_group_IT_number 36
loop_
_space_group_symop_operation_xyz
'x,y,z'
'-x,-y,z+1/2'
'-x,y,z'
'x,-y,z+1/2'
'x+1/2,y+1/2,z'
'-x+1/2,-y+1/2,z+1/2'
'-x+1/2,y+1/2,z'
'x+1/2,-y+1/2,z+1/2'
loop_
_atom_site_label
_atom_site_type_symbol
_atom_site_fract_x
_atom_site_fract_y
_atom_site_fract_z
Tb1 Tb 0.000 0.202 0.000
Y1 Y 0.000 0.109 0.726
Y2 Y 0.000 0.113 0.309
Ho1 Ho 0.000 0.414 0.447
Er1 Er 0.000 0.019 0.016
Er2 Er 0.000 0.283 0.296
Er3 Er 0.000 0.300 0.697
Er4 Er 0.000 0.393 0.012
Er5 Er 0.000 0.479 0.727

# Tb6YHo2Er (PBE-GGA, relaxed)
# - crystal system = monoclinic
data_Tb6YHo2Er
_chemical_formula_sum 'Tb24 Y4 Ho8 Er4'
_cell_length_a 9.027
_cell_length_b 15.074
_cell_length_c 9.532
_cell_angle_alpha 90.00
_cell_angle_beta 97.41
_cell_angle_gamma 90.00
_space_group_name_H-M_alt 'C 1 2/c 1'
_space_group_IT_number 15
loop_
_space_group_symop_operation_xyz
'x,y,z'
'-x,-y,-z'
'-x,y,-z+1/2'
'x,-y,z+1/2'
'x+1/2,y+1/2,z'
'-x+1/2,-y+1/2,-z'
'-x+1/2,y+1/2,-z+1/2'
'x+1/2,-y+1/2,z+1/2'
loop_
_atom_site_label
_atom_site_type_symbol
_atom_site_fract_x
_atom_site_fract_y
_atom_site_fract_z
Tb1 Tb 0.061 0.186 0.445
Tb2 Tb 0.104 0.393 0.620
Tb3 Tb 0.207 0.225 0.814
Y1 Y 0.000 0.023 0.750
Ho1 Ho 0.249 0.447 0.956
Er1 Er 0.000 0.410 0.250

# TbY2Ho6Er (PBE-GGA, relaxed)
# - crystal system = monoclinic
data_TbY2Ho6Er
_chemical_formula_sum 'Tb4 Y8 Ho24 Er4'
_cell_length_a 9.043
_cell_length_b 14.962
_cell_length_c 9.473
_cell_angle_alpha 90.00
_cell_angle_beta 97.01
_cell_angle_gamma 90.00
_space_group_name_H-M_alt 'C 1 2/c 1'
_space_group_IT_number 15
loop_
_space_group_symop_operation_xyz
'x,y,z'
'-x,-y,-z'
'-x,y,-z+1/2'
'x,-y,z+1/2'
'x+1/2,y+1/2,z'
'-x+1/2,-y+1/2,-z'
'-x+1/2,y+1/2,-z+1/2'
'x+1/2,-y+1/2,z+1/2'
loop_
_atom_site_label
_atom_site_type_symbol
_atom_site_fract_x
_atom_site_fract_y
_atom_site_fract_z
Tb1 Tb 0.000 0.025 0.250
Y1 Y 0.250 0.052 0.545
Ho1 Ho 0.062 0.186 0.943
Ho2 Ho 0.100 0.391 0.119
Ho3 Ho 0.207 0.225 0.315
Er1 Er 0.000 0.409 0.750

# TbY2Ho2Er4 (PBE-GGA, relaxed)
# - crystal system = triclinic
data_TbY2Ho2Er4
_chemical_formula_sum 'Tb1 Y2 Ho2 Er4'
_cell_length_a 6.001
_cell_length_b 6.645
_cell_length_c 8.498
_cell_angle_alpha 78.86
_cell_angle_beta 69.54
_cell_angle_gamma 63.50
_space_group_name_H-M_alt 'P -1'
_space_group_IT_number 2
loop_
_space_group_symop_operation_xyz
'x,y,z'
'-x,-y,-z'
loop_
_atom_site_label
_atom_site_type_symbol
_atom_site_fract_x
_atom_site_fract_y
_atom_site_fract_z
Tb1 Tb 0.000 0.000 0.000
Y1 Y 0.266 0.670 0.660
Ho1 Ho 0.182 0.224 0.555
Er1 Er 0.270 0.424 0.120
Er2 Er 0.384 0.875 0.235

# TbYHoEr3 (PBE-GGA, relaxed)
# - crystal system = monoclinic
data_TbYHoEr3
_chemical_formula_sum 'Tb2 Y2 Ho2 Er6'
_cell_length_a 10.570
_cell_length_b 3.524
_cell_length_c 10.618
_cell_angle_alpha 90.00
_cell_angle_beta 109.35
_cell_angle_gamma 90.00
_space_group_name_H-M_alt 'P 1 21/m 1'
_space_group_IT_number 11
loop_
_space_group_symop_operation_xyz
'x,y,z'
'-x,-y,-z'
'-x,y+1/2,-z'
'x,-y+1/2,z'
loop_
_atom_site_label
_atom_site_type_symbol
_atom_site_fract_x
_atom_site_fract_y
_atom_site_fract_z
Tb1 Tb 0.125 0.250 0.126
Y1 Y 0.292 0.250 0.626
Ho1 Ho 0.376 0.750 0.374
Er1 Er 0.041 0.750 0.375
Er2 Er 0.208 0.750 0.876
Er3 Er 0.458 0.250 0.123

# Tb2YHo3Er6 (PBE-GGA, relaxed)
# - crystal system = monoclinic
data_Tb2YHo3Er6
_chemical_formula_sum 'Tb4 Y2 Ho6 Er12'
_cell_length_a 6.110
_cell_length_b 10.569
_cell_length_c 11.679
_cell_angle_alpha 90.00
_cell_angle_beta 100.00
_cell_angle_gamma 90.00
_space_group_name_H-M_alt 'C 1 2/m 1'
_space_group_IT_number 12
loop_
_space_group_symop_operation_xyz
'x,y,z'
'-x,-y,-z'
'-x,y,-z'
'x,-y,z'
'x+1/2,y+1/2,z'
'-x+1/2,-y+1/2,-z'
'-x+1/2,y+1/2,-z'
'x+1/2,-y+1/2,z'
loop_
_atom_site_label
_atom_site_type_symbol
_atom_site_fract_x
_atom_site_fract_y
_atom_site_fract_z
Tb1 Tb 0.000 0.167 0.000
Y1 Y 0.000 0.500 0.000
Ho1 Ho 0.000 0.000 0.500
Ho2 Ho 0.000 0.333 0.500
Er1 Er 0.249 0.167 0.749
Er2 Er 0.250 0.000 0.251

The records above give, respectively, ΔH_f (0 K) values of 3; 270; 127; 20; 62; 18; 27; 161; 163; 272; 152; 22; 396; 154; 116; 125; 92; 24; 21 meV per atom.
The records above give, respectively, density of states at the Fermi level values of 1.40; 1.52; 1.45; 1.37; 1.88; 1.33; 1.32; 1.67; 1.60; 1.59; 1.62; 1.45; 1.39; 1.60; 1.36; 1.44; 1.85; 1.43; 1.38 states/eV per atom.